[1]
This record from Alexandria describes a relaxed CaAu3Se crystal. The functional is PBE-GGA.

Computed properties:
The calculation puts the volume at 30.5 A^3/atom. For the calculated total energy, the calculation gives -11.4 eV per cell. As for the uncorrected formation energy: 0.7926 eV per atom. The offset from the most stable computed form comes out at 827 meV/atom. The density of states at the Fermi level comes out at 6.89 states/eV/cell.

Lattice parameters (Å, degrees): 5.343 5.343 5.343 90.00 90.00 90.00
Atoms (fractional coordinates):
1 Ca 0.000 0.000 0.000
2 Au 0.000 0.000 0.500
3 Au 0.000 0.500 0.000
4 Au 0.500 0.000 0.000
5 Se 0.500 0.500 0.500

[2]
This record from Alexandria describes a relaxed CsHfAlSe4 crystal. The functional is PBE-GGA.

Computed properties:
The calculation puts the volume at 30.8 A^3/atom. For the calculated total energy, the calculation gives -73.3 eV per cell. As for the uncorrected formation energy: -1.1682 eV per atom.

Lattice parameters (Å, degrees): 6.585 7.158 9.199 90.00 95.63 90.00
Atoms (fractional coordinates):
1 Cs 0.218 0.250 0.055
2 Cs 0.782 0.750 0.945
3 Hf 0.176 0.750 0.457
4 Hf 0.824 0.250 0.543
5 Al 0.349 0.250 0.643
6 Al 0.651 0.750 0.357
7 Se 0.103 0.001 0.677
8 Se 0.103 0.499 0.677
9 Se 0.344 0.750 0.199
10 Se 0.455 0.250 0.407
11 Se 0.545 0.750 0.593
12 Se 0.656 0.250 0.801
13 Se 0.897 0.501 0.323
14 Se 0.897 0.999 0.323

[3]
This record from Alexandria describes a relaxed NaPu2I6 crystal. The functional is PBE-GGA.

Computed properties:
The calculation puts the volume at 51.2 A^3/atom. For the calculated total energy, the calculation gives -48.8 eV per cell. As for the uncorrected formation energy: -1.0542 eV per atom. The offset from the most stable computed form comes out at 61 meV/atom. The density of states at the Fermi level comes out at 31.95 states/eV/cell.

Lattice parameters (Å, degrees): 10.095 10.095 12.216 127.03 127.03 28.21
Atoms (fractional coordinates):
1 Na 0.000 0.000 0.000
2 Pu 0.481 0.481 0.298
3 Pu 0.519 0.519 0.702
4 I 0.122 0.122 0.894
5 I 0.363 0.363 0.390
6 I 0.395 0.395 0.777
7 I 0.605 0.605 0.223
8 I 0.637 0.637 0.610
9 I 0.878 0.878 0.106

[4]
This record from Alexandria describes a relaxed SrZn3Pd crystal. The functional is PBE-GGA.

Computed properties:
The calculation puts the volume at 20.8 A^3/atom. For the calculated total energy, the calculation gives -25.3 eV per cell. The value obtained for the formation energy is -394 meV per atom. The offset from the most stable computed form comes out at 0 meV/atom. The density of states at the Fermi level comes out at 2.61 states/eV/cell.

Lattice parameters (Å, degrees): 6.133 6.133 6.232 90.00 90.00 117.69
Atoms (fractional coordinates):
1 Sr 0.238 0.762 0.750
2 Sr 0.762 0.238 0.250
3 Zn 0.112 0.888 0.250
4 Zn 0.278 0.278 0.000
5 Zn 0.278 0.278 0.500
6 Zn 0.722 0.722 0.000
7 Zn 0.722 0.722 0.500
8 Zn 0.888 0.112 0.750
9 Pd 0.355 0.645 0.250
10 Pd 0.645 0.355 0.750

[5]
This record from Alexandria describes a relaxed Os3Rh crystal. The functional is PBE-GGA.

Computed properties:
The calculation puts the volume at 14.7 A^3/atom. For the calculated total energy, the calculation gives -77.5 eV per cell. The value obtained for the formation energy is 576 meV per atom. The density of states at the Fermi level comes out at 9.78 states/eV/cell.

Lattice parameters (Å, degrees): 4.905 4.905 4.905 90.00 90.00 90.00
Atoms (fractional coordinates):
1 Os 0.000 0.250 0.500
2 Os 0.000 0.750 0.500
3 Os 0.250 0.500 0.000
4 Os 0.500 0.000 0.250
5 Os 0.500 0.000 0.750
6 Os 0.750 0.500 0.000
7 Rh 0.000 0.000 0.000
8 Rh 0.500 0.500 0.500

[6]
This record from Alexandria describes a relaxed Pm2Nd3Tl crystal. The functional is PBE-GGA.

Computed properties:
The calculation puts the volume at 33.2 A^3/atom. For the calculated total energy, the calculation gives -53.5 eV per cell. The value obtained for the formation energy is -98 meV per atom. The offset from the most stable computed form comes out at 10 meV/atom. The density of states at the Fermi level comes out at 16.76 states/eV/cell.

Lattice parameters (Å, degrees): 9.665 9.665 9.665 148.01 122.58 67.25
Atoms (fractional coordinates):
1 Pm 0.277 0.027 0.250
2 Pm 0.427 0.677 0.750
3 Pm 0.573 0.323 0.250
4 Pm 0.723 0.973 0.750
5 Nd 0.000 0.500 0.500
6 Nd 0.136 0.171 0.965
7 Nd 0.294 0.829 0.465
8 Nd 0.500 0.500 0.000
9 Nd 0.706 0.171 0.535
10 Nd 0.864 0.829 0.035
11 Tl 0.102 0.352 0.750
12 Tl 0.898 0.648 0.250

[7]
This record from Alexandria describes a relaxed Sm4YScS8 crystal. The functional is PBE-GGA.

Computed properties:
The calculation puts the volume at 26.9 A^3/atom. For the calculated total energy, the calculation gives -91.4 eV per cell. As for the uncorrected formation energy: -1.9102 eV per atom. The density of states at the Fermi level comes out at 4.93 states/eV/cell.

Lattice parameters (Å, degrees): 8.097 8.097 8.097 60.14 60.14 60.14
Atoms (fractional coordinates):
1 Sm 0.000 0.000 0.000
2 Sm 0.379 0.379 0.864
3 Sm 0.379 0.864 0.379
4 Sm 0.864 0.379 0.379
5 Y 0.379 0.379 0.379
6 Sc 0.751 0.751 0.751
7 S 0.127 0.622 0.622
8 S 0.134 0.134 0.134
9 S 0.138 0.138 0.597
10 S 0.138 0.597 0.138
11 S 0.597 0.138 0.138
12 S 0.622 0.127 0.622
13 S 0.622 0.622 0.127
14 S 0.626 0.626 0.626

[8]
This record from Alexandria describes a relaxed CeCdPd crystal. The functional is PBE-GGA.

Computed properties:
The calculation puts the volume at 22.9 A^3/atom. For the calculated total energy, the calculation gives -41.3 eV per cell. The value obtained for the formation energy is -578 meV per atom. The density of states at the Fermi level comes out at 19.64 states/eV/cell.

Lattice parameters (Å, degrees): 7.685 7.685 4.034 90.00 90.00 120.00
Atoms (fractional coordinates):
1 Ce 0.000 0.409 0.000
2 Ce 0.409 0.000 0.000
3 Ce 0.591 0.591 0.000
4 Cd 0.000 0.748 0.500
5 Cd 0.252 0.252 0.500
6 Cd 0.748 0.000 0.500
7 Pd 0.000 0.000 0.000
8 Pd 0.333 0.667 0.500
9 Pd 0.667 0.333 0.500